DFT (GGA-PBEsol) results for an optimized crystal structure of LaAlTlC2.

POSCAR file:
```
LaAlTlC2
1.0
4.419 0.000 0.000
0.000 4.419 0.000
0.000 0.000 6.189
La Al Tl C
1 1 1 2
direct
0.000 0.000 0.000 La
0.500 0.500 0.500 Al
0.000 0.000 0.500 Tl
0.000 0.500 0.000 C
0.500 0.000 0.000 C
```

## Properties
As for the formation enthalpy at 0 K: 2.057 eV/atom. The space group is No. 123. Its density of states at the Fermi level is 0.862 states/eV per atom. The value obtained for the total DFT energy (no corrections) is -4.21 eV per atom.